[1]
Na3InPb2 (PBE, optimized geometry); total moment = 0.00 μB per cell; energy relative to the elements = -0.0587 eV per atom; ΔE to the lowest computed polymorph = 67 meV/atom; D(E_F) = 5.31 states/eV/cell
1.0
8.7623 -1.6973 0.0000
8.7623 1.6973 0.0000
-5.7602 0.0000 12.2777
Na In Pb
6 2 4
Direct
0.0289 0.0289 0.2241
0.2512 0.2512 0.6840
0.3897 0.3897 0.9677
0.6103 0.6103 0.0323
0.7488 0.7488 0.3160
0.9711 0.9711 0.7759
0.4344 0.4344 0.3650
0.5656 0.5656 0.6350
0.1808 0.1808 0.8694
0.3631 0.3631 0.5452
0.6369 0.6369 0.4548
0.8192 0.8192 0.1306

[2]
TeMoCN2 (PBE, optimized geometry); total moment = 1.02 μB per cell; ΔE to the lowest computed polymorph = 0 meV/atom; D(E_F) = 3.20 states/eV/cell
1.0
3.8090 0.0000 0.0000
0.0000 3.8090 0.0000
0.0000 0.0000 5.8191
Te Mo C N
1 1 1 2
Direct
0.0000 0.0000 0.0000
0.0000 0.0000 0.5000
0.5000 0.5000 0.0000
0.0000 0.5000 0.5000
0.5000 0.0000 0.5000